Pr2PuAg | PBE | optimized geometry

Properties
- Total magnetic moment: 1.58 μB per atom
- Formation energy from the elements: 27.3 kJ per mole of atoms
- Offset from the most stable computed form: 279 meV per atom

Lattice parameters (Å, degrees): 3.4461 3.4461 35.5151 90.00 90.00 120.00
Space group R-3m (No. 166, hexagonal axes)
Unique sites:
Pr: 0.0000 0.0000 0.0949
Pu: 0.0000 0.0000 0.0000
Ag: 0.0000 0.0000 0.5000